Record 1
DFT (PBE) results for a geometry-optimized Er2Cl2O structure.

```
Er2Cl2O
1.0
4.045 0.000 0.000
0.000 4.045 0.000
0.000 0.000 12.967
Er Cl O
2 2 1
direct
0.000 0.000 0.157
0.000 0.000 0.843
0.000 0.000 0.345
0.000 0.000 0.655
0.000 0.000 0.000
```

Output
Calculated density in g cm⁻³: 3.30
D(E_F) in states/eV/atom: 0.325
Symmetry: No. 123
ΔE_f (raw) in eV/f.u.: -6.83
E in eV/f.u.: -24.6

Record 2
DFT (PBE) results for a geometry-optimized ErClO structure.

```
ErClO
1.0
3.268 -1.887 0.000
3.268 1.887 0.000
-2.249 0.000 9.948
Er Cl O
2 2 2
direct
0.118 0.118 0.358
0.882 0.882 0.642
0.391 0.391 0.184
0.609 0.609 0.816
0.196 0.196 0.585
0.804 0.804 0.415
```

Output
Calculated density in g cm⁻³: 5.92
D(E_F) in states/eV/atom: 0.000
Symmetry: No. 12
ΔE_f (raw) in eV/f.u.: -9.41
E in eV/f.u.: -20.8